[1]
Sr2CdIrN: optimized geometry, PBE.

Summary:
Raw total energy = -4.79 eV/atom

abc: 5.506 5.506 3.819
angles: 90.00 90.00 90.00
Fractional coordinates of all 5 atoms:
Sr 0.000 0.500 0.000
Sr 0.500 0.000 0.000
Cd 0.000 0.000 0.500
Ir 0.500 0.500 0.500
N 0.500 0.500 0.000

[2]
NaCdTeIr: optimized geometry, PBE.

Summary:
Energy above the lowest structure with this stoichiometry = 0.00 kJ/mol of atoms
Raw total energy = -3.50 eV/atom

abc: 6.780 6.780 6.780
angles: 90.00 90.00 90.00
Fractional coordinates of all 16 atoms:
Na 0.000 0.000 0.000
Na 0.000 0.500 0.500
Na 0.500 0.000 0.500
Na 0.500 0.500 0.000
Cd 0.250 0.250 0.750
Cd 0.250 0.750 0.250
Cd 0.750 0.250 0.250
Cd 0.750 0.750 0.750
Te 0.250 0.250 0.250
Te 0.250 0.750 0.750
Te 0.750 0.250 0.750
Te 0.750 0.750 0.250
Ir 0.000 0.000 0.500
Ir 0.000 0.500 0.000
Ir 0.500 0.000 0.000
Ir 0.500 0.500 0.500

[3]
NaCdTeIr: optimized geometry, PBE.

Summary:
Energy above the lowest structure with this stoichiometry = 25.32 kJ/mol of atoms
Raw total energy = -3.24 eV/atom

abc: 6.854 6.854 6.854
angles: 90.00 90.00 90.00
Fractional coordinates of all 16 atoms:
Na 0.000 0.000 0.000
Na 0.000 0.500 0.500
Na 0.500 0.000 0.500
Na 0.500 0.500 0.000
Cd 0.250 0.250 0.250
Cd 0.250 0.750 0.750
Cd 0.750 0.250 0.750
Cd 0.750 0.750 0.250
Te 0.000 0.000 0.500
Te 0.000 0.500 0.000
Te 0.500 0.000 0.000
Te 0.500 0.500 0.500
Ir 0.250 0.250 0.750
Ir 0.250 0.750 0.250
Ir 0.750 0.250 0.250
Ir 0.750 0.750 0.750

[4]
NaCdTeIr: optimized geometry, PBE.

Summary:
Energy above the lowest structure with this stoichiometry = 31.82 kJ/mol of atoms
Raw total energy = -3.17 eV/atom

abc: 6.924 6.924 6.924
angles: 90.00 90.00 90.00
Fractional coordinates of all 16 atoms:
Na 0.000 0.000 0.000
Na 0.000 0.500 0.500
Na 0.500 0.000 0.500
Na 0.500 0.500 0.000
Cd 0.000 0.000 0.500
Cd 0.000 0.500 0.000
Cd 0.500 0.000 0.000
Cd 0.500 0.500 0.500
Te 0.250 0.250 0.250
Te 0.250 0.750 0.750
Te 0.750 0.250 0.750
Te 0.750 0.750 0.250
Ir 0.250 0.250 0.750
Ir 0.250 0.750 0.250
Ir 0.750 0.250 0.250
Ir 0.750 0.750 0.750